## Tb6Sm4Sc (PBE)

Data for crystalline Tb6Sm4Sc at its relaxed geometry.

The formation enthalpy at 0 K is 13 kJ/mol of atoms. The value obtained for the electronic total energy is -4.684 eV per atom. Its crystal system is orthorhombic.

It has space group Cmcm (No. 63), with a = 5.739 Å, b = 9.593 Å, c = 25.582 Å, α = 90.00°, β = 90.00° and γ = 90.00°. The distinct sites, in fractional coordinates, are Tb at (0.000, 0.000, 0.000), Tb at (0.000, 0.032, 0.250), Tb at (0.000, 0.302, 0.609), Tb at (0.000, 0.366, 0.184), Sm at (0.000, 0.040, 0.122), Sm at (0.000, 0.349, 0.045) and Sc at (0.000, 0.303, 0.750).